A.
CaY2Cu2 PBE relaxed; N(E_F) = 0.2872 states/eV/atom; density = 4.43 Mg/m³; volume = 25.84 Å³/atom; M_tot = 0.00 μB/cell; SG = I4/mmm
1.0
4.875 0.000 0.000
0.000 4.875 0.000
2.437 2.437 5.438
Y Ca Cu
2 1 2
Cartesian
4.875 2.437 2.719
2.437 4.875 2.719
0.000 0.000 0.000
2.437 2.437 1.178
4.875 4.875 4.260

B.
CaY2Cu2 PBE relaxed; N(E_F) = 1.1116 states/eV/atom; density = 4.87 Mg/m³; volume = 23.52 Å³/atom; M_tot = 0.00 μB/cell; SG = P4/mbm
1.0
-6.076 -0.747 -5.801
2.775 -7.731 -1.912
-2.018 -1.288 2.280
Y Ca Cu
4 2 4
Cartesian
0.195 -6.930 -3.744
-3.462 -5.580 -6.218
-3.496 -1.548 -3.969
0.161 -2.898 -1.495
0.000 0.000 0.000
-1.651 -4.239 -3.856
-0.133 -5.825 -1.013
-2.645 -7.665 -4.276
-5.186 -3.941 -4.420
-2.674 -2.101 -1.157

Most favorable structure: B. The second most favorable one is 0.013 eV/atom above it.

A.
CaY2Cu2 PBE relaxed; N(E_F) = 0.3885 states/eV/atom; density = 4.20 Mg/m³; volume = 27.31 Å³/atom; M_tot = 0.00 μB/cell; SG = I4/mmm
1.0
4.385 0.000 0.000
0.000 4.385 0.000
2.193 2.193 7.100
Y Ca Cu
2 1 2
Cartesian
2.193 2.193 1.829
4.385 4.385 5.271
0.000 0.000 0.000
4.385 2.193 3.550
2.193 4.385 3.550

B.
CaY2Cu2 PBE relaxed; N(E_F) = 1.2114 states/eV/atom; density = 4.68 Mg/m³; volume = 24.46 Å³/atom; M_tot = 0.00 μB/cell; SG = P4/mbm
1.0
-1.672 7.819 0.357
-1.960 -0.772 7.721
3.616 0.728 0.991
Y Ca Cu
4 2 4
Cartesian
0.255 1.090 5.630
-0.943 4.857 7.233
-0.271 6.685 3.438
0.926 2.918 1.836
0.000 0.000 0.000
-1.816 3.523 4.039
-2.353 2.278 6.914
-2.688 6.385 5.116
-1.279 4.769 1.164
-0.945 0.662 2.962

Most favorable structure: B. The second most favorable one is 0.316 eV/atom above it.

A.
CaY3Cu PBE relaxed; N(E_F) = 1.7213 states/eV/atom; density = 3.74 Mg/m³; volume = 32.90 Å³/atom; M_tot = 1.76 μB/cell; SG = Pm-3m
1.0
5.479 0.000 0.000
0.000 5.479 0.000
0.000 0.000 5.479
Y Ca Cu
3 1 1
Cartesian
0.000 2.740 0.000
0.000 0.000 2.740
2.740 0.000 0.000
2.740 2.740 2.740
0.000 0.000 0.000

B.
CaY3Cu PBE relaxed; N(E_F) = 0.8992 states/eV/atom; density = 3.68 Mg/m³; volume = 33.46 Å³/atom; M_tot = 0.00 μB/cell; SG = Pm-3m
1.0
-2.664 2.074 -4.355
-4.816 -0.879 2.528
0.256 5.029 2.238
Y Ca Cu
3 1 1
Cartesian
-2.408 -0.440 1.264
0.128 2.514 1.119
-1.332 1.037 -2.177
0.000 0.000 0.000
-3.612 3.112 0.206

Most favorable structure: A. The second most favorable one is 1.164 eV/atom above it.

A.
CaYCu PBE relaxed; N(E_F) = 0.7996 states/eV/atom; density = 3.76 Mg/m³; volume = 28.37 Å³/atom; M_tot = 0.00 μB/cell; SG = P3m1
1.0
4.662 0.000 0.000
-2.331 4.038 0.000
0.000 0.000 4.522
Y Ca Cu
1 1 1
Cartesian
2.331 1.346 2.540
0.000 0.000 0.260
0.000 2.692 1.722

B.
CaYCu PBE relaxed; N(E_F) = 0.9328 states/eV/atom; density = 3.98 Mg/m³; volume = 26.80 Å³/atom; M_tot = 0.00 μB/cell; SG = I4mm
1.0
6.917 0.018 -0.019
6.008 3.430 -0.019
0.910 0.243 3.402
Y Ca Cu
1 1 1
Cartesian
9.370 2.500 0.980
12.597 3.361 0.057
4.792 1.278 2.290

Most favorable structure: B. The second most favorable one is 0.218 eV/atom above it.

A.
CaYCu4 PBE relaxed; N(E_F) = 1.0969 states/eV/atom; density = 6.08 Mg/m³; volume = 17.43 Å³/atom; M_tot = 0.00 μB/cell; SG = F-43m
1.0
5.289 0.000 0.000
2.644 4.580 0.000
2.644 1.527 4.318
Ca Cu Y
1 4 1
Cartesian
0.000 0.000 0.000
3.961 3.820 2.701
6.616 3.820 2.701
5.289 1.521 2.701
5.289 3.053 0.534
2.644 1.527 1.080

B.
CaYCu4 PBE relaxed; N(E_F) = 0.6719 states/eV/atom; density = 5.54 Mg/m³; volume = 19.15 Å³/atom; M_tot = 0.00 μB/cell; SG = Immm
1.0
-0.394 2.090 3.615
4.899 0.339 2.771
0.899 5.526 -0.665
Ca Y Cu
1 1 4
Cartesian
2.702 3.978 2.860
-0.394 2.090 3.615
3.453 6.866 3.705
4.780 5.145 4.845
1.951 1.089 2.016
0.624 2.811 0.876

Most favorable structure: B. The second most favorable one is 0.052 eV/atom above it.

A.
Ca2Zn2Cu PBE relaxed; N(E_F) = 0.4986 states/eV/atom; density = 4.07 Mg/m³; volume = 22.38 Å³/atom; M_tot = 0.00 μB/cell; SG = Immm
1.0
-3.181 0.331 -3.076
-2.330 -4.376 1.939
0.186 4.697 3.514
Ca Zn Cu
2 2 1
Cartesian
-3.176 1.816 0.280
-2.149 -1.164 2.098
-3.344 -3.127 -0.078
-2.168 -0.918 -1.058
0.000 0.000 0.000

B.
Ca2Zn2Cu PBE relaxed; N(E_F) = 0.5548 states/eV/atom; density = 3.49 Mg/m³; volume = 26.09 Å³/atom; M_tot = 0.00 μB/cell; SG = P4/mbm
1.0
7.998 0.000 0.000
0.000 7.998 0.000
0.000 0.000 4.079
Zn Ca Cu
4 4 2
Cartesian
0.944 4.944 2.040
4.944 7.054 2.040
7.054 3.055 2.040
3.055 0.944 2.040
2.592 6.591 0.000
6.591 5.406 0.000
5.406 1.407 0.000
1.407 2.592 0.000
0.000 0.000 0.000
3.999 3.999 0.000

Most favorable structure: A. The second most favorable one is 0.362 eV/atom above it.